Record 1
# La2PrHfN4

Crystalline La2PrHfN4 at its relaxed geometry (GGA-PBE, the Alexandria database).

extended XYZ file:
```
8
Lattice="3.545 0.000 0.000 0.000 6.196 0.120 0.000 -2.154 5.866" Properties=species:S:1:pos:R:3 pbc="T T T"
La 0.000 2.021 2.993
La 1.772 -1.077 2.933
N 0.000 4.304 1.411
N 1.772 3.152 4.675
N 0.000 -0.262 4.575
N 1.772 0.890 1.312
Pr 1.772 3.098 0.060
Hf 0.000 0.000 0.000
```

Output
**Electronic total energy**: -8.63 eV/atom
**SG**: P2/m, No. 10
**E_form (uncorrected)**: -1397.2 meV per atom

=====

Record 2
# LaPuHfN3

Crystalline LaPuHfN3 at its relaxed geometry (GGA-PBE, the Alexandria database).

extended XYZ file:
```
12
Lattice="-0.926 -1.678 2.614 4.572 -5.031 -1.608 5.240 4.668 4.852" Properties=species:S:1:pos:R:3 pbc="T T T"
N 4.878 2.875 4.578
N 3.932 0.030 4.427
N 7.061 0.732 3.977
N 4.954 -2.070 1.432
N 1.825 -2.773 1.882
N 4.008 -4.915 1.281
Pu 5.674 -3.613 2.706
Pu 3.212 1.573 3.152
Hf 5.491 0.927 5.555
Hf 3.395 -2.968 0.304
La 1.359 -0.414 1.221
La 7.526 -1.626 4.638
```

Output
**Electronic total energy**: -10.17 eV/atom
**SG**: P2_1/m, No. 11
**E_form (uncorrected)**: -1143.0 meV per atom

=====

Record 3
# LaHf2ScN4

Crystalline LaHf2ScN4 at its relaxed geometry (GGA-PBE, the Alexandria database).

extended XYZ file:
```
16
Lattice="-2.948 3.070 5.154 3.211 -4.051 4.238 3.453 3.549 -4.364" Properties=species:S:1:pos:R:3 pbc="T T T"
N 1.733 1.654 0.146
N 0.175 3.025 2.598
N 3.541 -0.457 2.430
N 3.408 3.375 -1.972
N 1.750 -2.157 4.622
N 1.966 4.724 0.406
N 0.308 -0.808 6.999
N 1.983 0.914 4.881
Hf 0.252 3.309 0.395
Hf 1.727 1.774 -2.182
Hf -1.474 1.535 2.577
Hf 0.131 -0.491 4.696
Sc 1.858 1.284 2.514
Sc 0.505 6.618 0.790
La 0.384 2.819 5.091
La 1.606 -2.026 2.119
```

Output
**Electronic total energy**: -9.70 eV/atom
**SG**: Imma, No. 74
**E_form (uncorrected)**: -1643.8 meV per atom

=====

Record 4
# La2SmHfN4

Crystalline La2SmHfN4 at its relaxed geometry (GGA-PBE, the Alexandria database).

extended XYZ file:
```
8
Lattice="-0.608 3.275 -1.120 -3.007 1.217 5.190 6.020 1.386 0.785" Properties=species:S:1:pos:R:3 pbc="T T T"
N 2.073 3.671 4.095
N 0.332 2.207 0.760
N -0.963 1.240 4.146
N 3.976 1.364 1.829
La 2.706 2.330 -0.168
La 1.506 1.302 2.988
Hf 0.000 0.000 0.000
Sm -1.808 2.246 2.035
```

Output
**Electronic total energy**: -8.69 eV/atom
**SG**: P2/m, No. 10
**E_form (uncorrected)**: -1465.8 meV per atom

=====

Record 5
# La2HfSnN5

Crystalline La2HfSnN5 at its relaxed geometry (GGA-PBE, the Alexandria database).

extended XYZ file:
```
18
Lattice="3.450 0.000 0.000 -1.725 7.232 0.000 0.000 0.000 10.709" Properties=species:S:1:pos:R:3 pbc="T T T"
Sn 0.000 7.016 5.092
Sn 1.725 0.216 10.447
N 0.000 7.214 3.012
N 1.725 1.891 5.463
N 0.000 4.091 6.872
N 1.725 0.018 8.367
N 1.725 6.215 5.892
N 1.725 3.141 1.517
N 0.000 5.341 0.108
N 0.000 1.017 0.537
N 1.725 2.967 9.356
N 0.000 4.265 4.002
Hf 1.725 3.978 5.373
Hf 0.000 3.254 0.018
La 1.725 5.493 2.213
La 0.000 1.909 3.035
La 0.000 1.739 7.567
La 1.725 5.323 8.390
```

Output
**Electronic total energy**: -8.16 eV/atom
**SG**: Cmc2_1, No. 36
**E_form (uncorrected)**: -894.1 meV per atom

=====

Record 6
# SrLa2HfN4

Crystalline SrLa2HfN4 at its relaxed geometry (GGA-PBE, the Alexandria database).

extended XYZ file:
```
16
Lattice="-6.039 -1.574 -3.645 3.756 -4.881 -3.782 0.000 -0.297 7.146" Properties=species:S:1:pos:R:3 pbc="T T T"
Hf -1.142 -3.376 -0.140
Hf -6.039 -1.872 3.502
N -0.589 -1.751 1.588
N -3.222 -2.596 -0.108
N 1.628 -4.241 -3.756
N -1.694 -5.002 -1.869
N -1.694 -5.140 1.447
N -0.590 -1.613 -1.728
N -3.911 -2.512 3.475
N 0.939 -4.157 -0.173
La -1.142 -3.228 -3.714
La -3.020 -0.787 -1.822
La 0.000 -0.149 3.573
La -3.020 -0.936 1.751
Sr -4.161 -4.163 -1.963
Sr 1.878 -2.440 -1.891
```

Output
**Electronic total energy**: -8.04 eV/atom
**SG**: Imma, No. 74
**E_form (uncorrected)**: -1195.3 meV per atom

=====

Record 7
# La2HfTaN

Crystalline La2HfTaN at its relaxed geometry (GGA-PBE, the Alexandria database).

extended XYZ file:
```
5
Lattice="5.987 0.000 0.000 0.000 4.003 0.000 0.000 0.000 5.987" Properties=species:S:1:pos:R:3 pbc="T T T"
La 0.000 0.000 2.994
La 2.994 0.000 0.000
N 0.000 2.001 0.000
Hf 0.000 0.000 0.000
Ta 2.994 2.001 2.994
```

Output
**Electronic total energy**: -7.03 eV/atom
**SG**: P4/mmm, No. 123
**E_form (uncorrected)**: 964.2 meV per atom

=====

Record 8
# LaTb2HfN4

Crystalline LaTb2HfN4 at its relaxed geometry (GGA-PBE, the Alexandria database).

extended XYZ file:
```
8
Lattice="3.461 0.000 0.000 0.000 6.087 0.141 0.000 -2.095 5.605" Properties=species:S:1:pos:R:3 pbc="T T T"
Hf 0.000 0.000 0.000
La 1.730 3.043 0.070
Tb 1.730 -1.048 2.802
Tb 0.000 1.996 2.873
N 1.730 3.109 4.397
N 0.000 -0.226 4.267
N 0.000 4.218 1.479
N 1.730 0.882 1.349
```

Output
**Electronic total energy**: -8.74 eV/atom
**SG**: P2/m, No. 10
**E_form (uncorrected)**: -1557.9 meV per atom

=====

Record 9
# LaHfTeN2

Crystalline LaHfTeN2 at its relaxed geometry (GGA-PBE, the Alexandria database).

extended XYZ file:
```
5
Lattice="4.345 0.000 0.000 0.000 4.345 0.000 0.000 0.000 5.625" Properties=species:S:1:pos:R:3 pbc="T T T"
Hf 0.000 0.000 0.000
La 2.173 2.173 2.813
N 0.000 2.173 0.000
N 2.173 0.000 0.000
Te 0.000 0.000 2.813
```

Output
**Electronic total energy**: -7.47 eV/atom
**Relative energy among the computed polymorphs**: 0.00 eV per formula unit
**SG**: P4/mmm, No. 123
**E_form (uncorrected)**: -532.5 meV per atom

=====

Record 10
# LaHfTeN2

Crystalline LaHfTeN2 at its relaxed geometry (GGA-PBE, the Alexandria database).

extended XYZ file:
```
5
Lattice="-2.506 1.094 -3.298 -3.112 -2.515 1.531 -2.268 4.830 3.325" Properties=species:S:1:pos:R:3 pbc="T T T"
N -1.556 -1.257 0.765
N -1.253 0.547 -1.649
Te -1.134 2.415 1.663
La 0.000 0.000 0.000
Hf -3.943 1.704 0.779
```

Output
**Electronic total energy**: -6.21 eV/atom
**Relative energy among the computed polymorphs**: 6.28 eV per formula unit
**SG**: P4/mmm, No. 123
**E_form (uncorrected)**: 723.7 meV per atom

=====

Record 11
# La4HfTh3N8

Crystalline La4HfTh3N8 at its relaxed geometry (GGA-PBE, the Alexandria database).

extended XYZ file:
```
16
Lattice="7.247 0.000 0.000 0.000 7.318 0.044 -3.623 -3.620 5.127" Properties=species:S:1:pos:R:3 pbc="T T T"
Hf 0.000 3.659 0.022
N 0.000 3.588 2.359
N 1.935 1.655 5.096
N 0.000 0.135 2.656
N 5.559 2.044 0.075
N 3.623 0.111 2.812
N 1.688 2.044 0.075
N 3.623 3.563 2.515
N -1.935 1.655 5.096
Th 3.623 3.659 0.022
Th 1.812 1.849 2.586
Th -1.812 1.849 2.586
La 3.623 0.000 0.000
La 0.000 0.000 0.000
La -1.812 -1.810 2.563
La 1.812 -1.810 2.563
```

Output
**Electronic total energy**: -8.90 eV/atom
**SG**: R-3m, No. 166
**E_form (uncorrected)**: -1496.9 meV per atom

=====

Record 12
# LaHfThN3

Crystalline LaHfThN3 at its relaxed geometry (GGA-PBE, the Alexandria database).

extended XYZ file:
```
12
Lattice="3.544 0.000 0.000 0.000 7.243 1.611 0.000 -1.014 8.349" Properties=species:S:1:pos:R:3 pbc="T T T"
La 0.886 0.686 1.406
La 2.658 5.543 8.554
Hf 2.658 5.653 5.082
Hf 0.886 0.577 4.878
N 0.886 3.641 8.500
N 2.658 5.755 2.933
N 2.658 2.589 1.460
N 0.886 0.475 7.027
N 0.886 5.739 6.233
N 2.658 0.490 3.727
Th 0.886 4.073 2.348
Th 2.658 2.156 7.612
```

Output
**Electronic total energy**: -9.16 eV/atom
**SG**: P2_1/m, No. 11
**E_form (uncorrected)**: -1282.2 meV per atom

=====

Record 13
# La2HfThN4

Crystalline La2HfThN4 at its relaxed geometry (GGA-PBE, the Alexandria database).

extended XYZ file:
```
8
Lattice="-2.258 1.351 2.361 -0.473 -5.506 2.697 4.709 3.165 2.693" Properties=species:S:1:pos:R:3 pbc="T T T"
Hf 0.000 0.000 0.000
La 1.226 2.258 2.527
La 2.118 -1.171 2.695
N -0.248 0.131 2.335
N 2.225 -1.121 5.416
N 3.598 1.199 2.756
N 0.638 -3.540 2.635
Th -1.366 -2.078 2.529
```

Output
**Electronic total energy**: -9.07 eV/atom
**SG**: P2/m, No. 10
**E_form (uncorrected)**: -1506.3 meV per atom

=====

Record 14
# LaHfTiN3

Crystalline LaHfTiN3 at its relaxed geometry (GGA-PBE, the Alexandria database).

extended XYZ file:
```
12
Lattice="3.255 0.000 0.000 0.000 6.968 0.850 0.000 -1.824 8.163" Properties=species:S:1:pos:R:3 pbc="T T T"
N 2.441 2.648 1.340
N 0.814 -0.424 6.964
N 2.441 0.221 3.746
N 0.814 4.923 5.266
N 2.441 5.568 2.049
N 0.814 2.497 7.673
Ti 2.441 5.217 4.150
Ti 0.814 -0.073 4.862
Hf 2.441 0.960 7.439
Hf 0.814 4.184 1.574
La 2.441 4.455 7.377
La 0.814 0.689 1.635
```

Output
**Electronic total energy**: -9.33 eV/atom
**SG**: P2_1/m, No. 11
**E_form (uncorrected)**: -1371.9 meV per atom

=====

Record 15
# LaTmHfN3

Crystalline LaTmHfN3 at its relaxed geometry (GGA-PBE, the Alexandria database).

extended XYZ file:
```
12
Lattice="-1.809 0.754 -2.868 1.956 -5.003 -2.549 -7.418 -2.612 3.991" Properties=species:S:1:pos:R:3 pbc="T T T"
N -5.766 -4.175 1.487
N -2.488 -0.059 -1.602
N -1.505 -2.686 -2.913
N -4.802 -1.897 -0.626
N -4.783 -6.802 0.176
N -2.469 -4.964 -0.800
Hf -2.303 -4.685 -2.935
Hf -4.968 -2.175 1.509
La -2.032 -2.361 -0.391
La -5.239 -4.500 -1.035
Tm 0.730 -3.764 -2.502
Tm -8.001 -3.097 1.076
```

Output
**Electronic total energy**: -8.97 eV/atom
**SG**: P2_1/m, No. 11
**E_form (uncorrected)**: -1585.6 meV per atom

=====

Record 16
# LaHfVN3

Crystalline LaHfVN3 at its relaxed geometry (GGA-PBE, the Alexandria database).

extended XYZ file:
```
12
Lattice="3.362 0.000 0.000 0.000 7.128 0.398 0.000 -2.332 7.367" Properties=species:S:1:pos:R:3 pbc="T T T"
N 2.521 0.047 4.061
N 2.521 5.890 1.390
N 2.521 2.815 1.232
N 0.840 -1.094 6.375
N 0.840 1.982 6.534
N 0.840 4.749 3.704
Hf 0.840 4.294 1.325
Hf 2.521 0.502 6.441
V 2.521 5.585 3.262
V 0.840 -0.789 4.504
La 2.521 3.882 6.306
La 0.840 0.915 1.459
```

Output
**Electronic total energy**: -9.43 eV/atom
**SG**: P2_1/m, No. 11
**E_form (uncorrected)**: -1272.4 meV per atom

=====

Record 17
# La2HfVN

Crystalline La2HfVN at its relaxed geometry (GGA-PBE, the Alexandria database).

extended XYZ file:
```
5
Lattice="5.351 0.000 0.000 0.000 3.853 0.000 0.000 0.000 5.351" Properties=species:S:1:pos:R:3 pbc="T T T"
N 0.000 0.000 0.000
Hf 2.675 1.926 2.675
La 2.675 0.000 0.000
La 0.000 0.000 2.675
V 0.000 1.926 0.000
```

Output
**Electronic total energy**: -7.76 eV/atom
**SG**: P4/mmm, No. 123
**E_form (uncorrected)**: -311.0 meV per atom

=====

Record 18
# LaHfVN2

Crystalline LaHfVN2 at its relaxed geometry (GGA-PBE, the Alexandria database).

extended XYZ file:
```
5
Lattice="-1.792 -0.426 3.639 -0.798 -4.604 -0.933 3.600 -0.960 1.660" Properties=species:S:1:pos:R:3 pbc="T T T"
V 0.000 0.000 0.000
N -0.896 -0.213 1.820
N 1.800 -0.480 0.830
Hf 0.505 -2.995 2.183
La -0.399 -2.302 -0.466
```

Output
**Electronic total energy**: -7.20 eV/atom
**SG**: P4/mmm, No. 123
**E_form (uncorrected)**: 928.8 meV per atom

=====

Record 19
# LaY2HfN4

Crystalline LaY2HfN4 at its relaxed geometry (GGA-PBE, the Alexandria database).

extended XYZ file:
```
8
Lattice="-0.894 1.961 2.697 -3.507 -4.492 2.104 5.496 -0.586 2.249" Properties=species:S:1:pos:R:3 pbc="T T T"
N 3.366 -1.443 2.166
N -1.376 -3.635 2.187
N 1.039 -2.943 4.695
N 0.057 -0.173 2.354
Y 2.301 0.688 2.473
Y 0.995 -2.539 2.176
Hf 0.000 0.000 0.000
La -2.200 -1.265 2.400
```

Output
**Electronic total energy**: -9.21 eV/atom
**SG**: P2/m, No. 10
**E_form (uncorrected)**: -1567.4 meV per atom

=====

Record 20
# La2YHfN4

Crystalline La2YHfN4 at its relaxed geometry (GGA-PBE, the Alexandria database).

extended XYZ file:
```
8
Lattice="3.480 0.000 0.000 0.000 6.044 0.112 0.000 -2.106 5.835" Properties=species:S:1:pos:R:3 pbc="T T T"
N 0.000 -0.183 4.582
N 1.740 3.034 4.674
N 1.740 0.904 1.273
N 0.000 4.121 1.365
La 0.000 1.969 2.974
La 1.740 -1.053 2.917
Hf 0.000 0.000 0.000
Y 1.740 3.022 0.056
```

Output
**Electronic total energy**: -8.97 eV/atom
**SG**: P2/m, No. 10
**E_form (uncorrected)**: -1526.7 meV per atom

=====

Record 21
# LaHfZnN2

Crystalline LaHfZnN2 at its relaxed geometry (GGA-PBE, the Alexandria database).

extended XYZ file:
```
5
Lattice="-4.180 0.437 0.414 -0.668 -6.687 0.307 0.432 0.149 4.198" Properties=species:S:1:pos:R:3 pbc="T T T"
Zn -2.208 -3.050 2.460
N 0.216 0.075 2.099
N -2.090 0.218 0.207
La 0.000 0.000 0.000
Hf -0.334 -3.343 0.153
```

Output
**Electronic total energy**: -5.17 eV/atom
**SG**: P4/mmm, No. 123
**E_form (uncorrected)**: 1392.9 meV per atom

=====

Record 22
# Na2LaHf

Crystalline Na2LaHf at its relaxed geometry (GGA-PBE, the Alexandria database).

extended XYZ file:
```
4
Lattice="1.919 -4.117 3.106 -1.654 -5.163 -0.946 3.503 -3.663 -2.144" Properties=species:S:1:pos:R:3 pbc="T T T"
Hf 1.884 -6.471 0.008
La 0.000 0.000 0.000
Na 0.942 -3.236 0.004
Na 2.826 -9.707 0.012
```

Output
**Electronic total energy**: -3.61 eV/atom
**Relative energy among the computed polymorphs**: 0.00 eV per formula unit
**SG**: Fm-3m, No. 225
**Energy of formation**: 768 meV per atom

=====

Record 23
# NaLa3Hf

Crystalline NaLa3Hf at its relaxed geometry (GGA-PBE, the Alexandria database).

extended XYZ file:
```
5
Lattice="-1.522 -5.723 0.058 3.859 -0.982 4.383 -4.226 1.164 3.981" Properties=species:S:1:pos:R:3 pbc="T T T"
Na -0.945 -2.770 4.211
La -2.113 0.582 1.991
La 1.929 -0.491 2.192
La -0.761 -2.861 0.029
Hf 0.000 0.000 0.000
```

Output
**Electronic total energy**: -4.72 eV/atom
**Relative energy among the computed polymorphs**: 0.00 eV per formula unit
**SG**: Pm-3m, No. 221
**Energy of formation**: 492 meV per atom

=====

For each record above, in turn, the calculated M_tot values are 0.000; 0.000; 0.000; 0.000; 1.780; 0.000; 2.043; 0.000; 0.907; 0.038; 0.000; 0.000; 0.000; 0.002; 0.000; 0.000; 1.073; 0.000; 0.000; 0.000; 1.677; 1.502; 0.000 μB/cell.